Compound: Ho2Tm
Source: the Alexandria database
Functional: PBE
Structure: optimized geometry

Total energy: -4.518 eV/atom
Size of the total moment: 0.000 μB/atom
Offset from the most stable computed form: 0.001 eV/atom
Density of states at the Fermi level: 7.9 states/eV per cell
Energy of formation: 7 kJ/mol of formula units

Structure (CIF):
```
data_Ho2Tm
_chemical_formula_sum 'Ho4 Tm2'
_cell_length_a 3.499
_cell_length_b 3.499
_cell_length_c 14.912
_cell_angle_alpha 90.00
_cell_angle_beta 90.00
_cell_angle_gamma 90.00
_symmetry_space_group_name_H-M 'I 4/m m m'
_symmetry_Int_Tables_number 139
_symmetry_space_group_name_Hall '-I 4 2'
loop_
_atom_site_label
_atom_site_type_symbol
_atom_site_fract_x
_atom_site_fract_y
_atom_site_fract_z
Ho1 Ho 0.000 0.000 0.166
Tm1 Tm 0.000 0.000 0.500
```

---

Compound: Cd2AuF
Source: the Alexandria database
Functional: PBE
Structure: optimized geometry

Total energy: -2.474 eV/atom
Size of the total moment: 0.000 μB/atom
E_form (uncorrected): -0.73 eV/atom
Offset from the most stable computed form: 0.017 eV/atom
Density of states at the Fermi level: 1.6 states/eV per cell

Structure (CIF):
```
data_Cd2AuF
_chemical_formula_sum 'Cd8 Au4 F4'
_cell_length_a 6.905
_cell_length_b 6.905
_cell_length_c 6.572
_cell_angle_alpha 90.00
_cell_angle_beta 90.00
_cell_angle_gamma 90.00
_symmetry_space_group_name_H-M 'I -4 2 d'
_symmetry_Int_Tables_number 122
_symmetry_space_group_name_Hall 'I -4 2bw'
loop_
_atom_site_label
_atom_site_type_symbol
_atom_site_fract_x
_atom_site_fract_y
_atom_site_fract_z
Cd1 Cd 0.208 0.250 0.125
Au1 Au 0.000 0.000 0.500
F1 F 0.000 0.000 0.000
```

---

Compound: AgOs4Se
Source: the Alexandria database
Functional: PBE
Structure: optimized geometry

Total energy: -7.416 eV/atom
Size of the total moment: 0.167 μB/atom
E_form (uncorrected): 1.13 eV/atom
Density of states at the Fermi level: 35.0 states/eV per cell

Structure (CIF):
```
data_AgOs4Se
_chemical_formula_sum 'Ag4 Os16 Se4'
_cell_length_a 7.389
_cell_length_b 7.389
_cell_length_c 7.389
_cell_angle_alpha 90.00
_cell_angle_beta 90.00
_cell_angle_gamma 90.00
_symmetry_space_group_name_H-M 'F -4 3 m'
_symmetry_Int_Tables_number 216
_symmetry_space_group_name_Hall 'F -4 2 3'
loop_
_atom_site_label
_atom_site_type_symbol
_atom_site_fract_x
_atom_site_fract_y
_atom_site_fract_z
Ag1 Ag 0.000 0.000 0.000
Os1 Os 0.125 0.125 0.375
Se1 Se 0.250 0.250 0.750
```

---

Compound: FePt2Rh
Source: the Alexandria database
Functional: PBE
Structure: optimized geometry

Total energy: -7.138 eV/atom
Size of the total moment: 1.057 μB/atom
Density of states at the Fermi level: 8.9 states/eV per cell
Energy of formation: -63 kJ/mol of formula units

Structure (CIF):
```
data_FePt2Rh
_chemical_formula_sum 'Fe2 Pt4 Rh2'
_cell_length_a 5.466
_cell_length_b 7.776
_cell_length_c 2.747
_cell_angle_alpha 90.00
_cell_angle_beta 90.00
_cell_angle_gamma 90.00
_symmetry_space_group_name_H-M 'C m m m'
_symmetry_Int_Tables_number 65
_symmetry_space_group_name_Hall '-C 2 2'
loop_
_atom_site_label
_atom_site_type_symbol
_atom_site_fract_x
_atom_site_fract_y
_atom_site_fract_z
Fe1 Fe 0.000 0.000 0.000
Pt1 Pt 0.250 0.250 0.500
Rh1 Rh 0.000 0.500 0.000
```

---

Compound: KSrPb
Source: the Alexandria database
Functional: PBE
Structure: optimized geometry

Total energy: -2.375 eV/atom
Size of the total moment: 0.000 μB/atom
Offset from the most stable computed form: 0.000 eV/atom
Density of states at the Fermi level: 2.7 states/eV per cell
Energy of formation: -61 kJ/mol of formula units

Structure (CIF):
```
data_KSrPb
_chemical_formula_sum 'K2 Sr2 Pb2'
_cell_length_a 4.049
_cell_length_b 4.049
_cell_length_c 16.581
_cell_angle_alpha 90.00
_cell_angle_beta 90.00
_cell_angle_gamma 90.00
_symmetry_space_group_name_H-M 'I 4 m m'
_symmetry_Int_Tables_number 107
_symmetry_space_group_name_Hall 'I 4 -2'
loop_
_atom_site_label
_atom_site_type_symbol
_atom_site_fract_x
_atom_site_fract_y
_atom_site_fract_z
K1 K 0.000 0.000 0.000
Sr1 Sr 0.000 0.000 0.265
Pb1 Pb 0.000 0.000 0.645
```

---

Compound: FeSbN2
Source: the Alexandria database
Functional: PBE
Structure: optimized geometry

Total energy: -6.814 eV/atom
Size of the total moment: 0.502 μB/atom
E_form (uncorrected): 0.49 eV/atom
Density of states at the Fermi level: 7.9 states/eV per cell

Structure (CIF):
```
data_FeSbN2
_chemical_formula_sum 'Fe3 Sb3 N6'
_cell_length_a 3.0208
_cell_length_b 3.0208
_cell_length_c 18.7554
_cell_angle_alpha 90.00
_cell_angle_beta 90.00
_cell_angle_gamma 120.00
_symmetry_space_group_name_H-M 'R -3 m'
_symmetry_Int_Tables_number 166
_symmetry_space_group_name_Hall '-R 3 2"'
loop_
_atom_site_label
_atom_site_type_symbol
_atom_site_fract_x
_atom_site_fract_y
_atom_site_fract_z
Fe1 Fe 0.0000 0.0000 0.0000
Sb1 Sb 0.0000 0.0000 0.5000
N1 N 0.0000 0.0000 0.3843
```